## Tb8Er2Hg (PBE)

Data for Tb8Er2Hg after structural relaxation.

Cell: 9.7829 9.7829 7.4043 Å, 112.14 112.14 32.42°
Element x y z (fractional)
1 Tb 0.0002 0.0002 0.2456
2 Tb 0.9998 0.9998 0.7544
3 Tb 0.1855 0.1855 0.6861
4 Tb 0.3640 0.3640 0.6267
5 Tb 0.3647 0.3647 0.1006
6 Tb 0.6353 0.6353 0.8994
7 Tb 0.6360 0.6360 0.3733
8 Tb 0.8145 0.8145 0.3139
9 Er 0.1918 0.1918 0.1915
10 Er 0.8082 0.8082 0.8085
11 Hg 0.5000 0.5000 0.5000

## Properties
- DOS(E_F) (states/eV/atom) = 1.778
- magnetization (μB/cell) = 0.00
- uncorrected energy (eV/atom) = -4.216

## InReTe (PBE)

Data for InReTe after structural relaxation.

Cell: 4.6539 4.6539 3.3733 Å, 90.00 90.00 120.00°
Element x y z (fractional)
1 In 0.0000 0.0000 0.0000
2 Re 0.6667 0.3333 0.5000
3 Te 0.3333 0.6667 0.5000

## Properties
- DOS(E_F) (states/eV/atom) = 1.599
- formation energy (no corrections) (meV/atom) = 782
- magnetization (μB/cell) = 0.00
- uncorrected energy (eV/atom) = -5.327

## RbUAgBr6 (PBE)

Data for RbUAgBr6 after structural relaxation.

Cell: 7.3200 7.3200 15.6507 Å, 90.00 90.00 120.00°
Element x y z (fractional)
1 Rb 0.0000 0.0000 0.0000
2 Rb 0.0000 0.0000 0.5000
3 U 0.3333 0.6667 0.2500
4 U 0.6667 0.3333 0.7500
5 Ag 0.3333 0.6667 0.7500
6 Ag 0.6667 0.3333 0.2500
7 Br 0.0130 0.3711 0.1443
8 Br 0.0130 0.6419 0.3557
9 Br 0.3581 0.3711 0.3557
10 Br 0.3581 0.9870 0.1443
11 Br 0.3711 0.0130 0.6443
12 Br 0.3711 0.3581 0.8557
13 Br 0.6289 0.6419 0.1443
14 Br 0.6289 0.9870 0.3557
15 Br 0.6419 0.0130 0.8557
16 Br 0.6419 0.6289 0.6443
17 Br 0.9870 0.3581 0.6443
18 Br 0.9870 0.6289 0.8557

## Properties
- DOS(E_F) (states/eV/atom) = 0.430
- formation energy (no corrections) (meV/atom) = -1210
- magnetization (μB/cell) = 4.00
- uncorrected energy (eV/atom) = -4.004

## TbThPd5 (PBE)

Data for TbThPd5 after structural relaxation.

Cell: 4.1372 4.1372 8.4208 Å, 90.00 90.00 90.00°
Element x y z (fractional)
1 Tb 0.0000 0.0000 0.0000
2 Th 0.5000 0.5000 0.5000
3 Pd 0.0000 0.0000 0.5000
4 Pd 0.0000 0.5000 0.2461
5 Pd 0.0000 0.5000 0.7539
6 Pd 0.5000 0.0000 0.2461
7 Pd 0.5000 0.0000 0.7539

## Properties
- DOS(E_F) (states/eV/atom) = 0.567
- magnetization (μB/cell) = 0.00
- uncorrected energy (eV/atom) = -6.158

## La3Tb4Pm2 (PBE)

Data for La3Tb4Pm2 after structural relaxation.

Cell: 6.3018 6.3021 9.6490 Å, 90.07 108.79 119.98°
Element x y z (fractional)
1 La 0.0000 0.0000 0.0000
2 La 0.4449 0.5571 0.6680
3 La 0.5551 0.4429 0.3320
4 Tb 0.1128 0.8901 0.6674
5 Tb 0.3335 0.6693 0.0000
6 Tb 0.6665 0.3307 0.0000
7 Tb 0.8872 0.1099 0.3326
8 Pm 0.2230 0.7770 0.3326
9 Pm 0.7770 0.2230 0.6674

## Properties
- DOS(E_F) (states/eV/atom) = 1.596
- magnetization (μB/cell) = 0.00
- uncorrected energy (eV/atom) = -4.732

## SrLiP2Cl (PBE)

Data for SrLiP2Cl after structural relaxation.

Cell: 5.8437 5.8437 5.5760 Å, 90.00 90.00 90.00°
Element x y z (fractional)
1 Sr 0.0000 0.0000 0.0000
2 Li 0.5000 0.5000 0.5000
3 P 0.0000 0.5000 0.0000
4 P 0.5000 0.0000 0.0000
5 Cl 0.0000 0.0000 0.5000

## Properties
- DOS(E_F) (states/eV/atom) = 0.870
- formation energy (no corrections) (meV/atom) = 157
- magnetization (μB/cell) = 2.60
- uncorrected energy (eV/atom) = -3.096